# 1
KNdSiS4 | PBE-GGA | optimized geometry

The calculation puts the total DFT energy (no corrections) at -5.4053 eV per atom.

The space group is P2_1 (No. 4) and the conventional cell measures 6.542, 6.645 and 8.750 Å, with angles of 90.00, 107.39 and 90.00 degrees. The asymmetric unit holds K at (0.221, 0.000, 0.432), Nd at (0.271, 0.980, 0.950), Si at (0.282, 0.509, 0.181), S at (0.086, 0.509, 0.333), S at (0.095, 0.551, 0.937), S at (0.478, 0.246, 0.213) and S at (0.484, 0.244, 0.772).



# 2
K2Nd2SnS6 | PBE-GGA | optimized geometry

The calculation puts the total DFT energy (no corrections) at -5.0414 eV per atom.

The space group is P-3 (No. 147) and the conventional cell measures 6.9381, 6.9381 and 7.7127 Å, with angles of 90.00, 90.00 and 120.00 degrees. The asymmetric unit holds K at (0.3333, 0.6667, 0.4977), Nd at (0.3333, 0.6667, 0.9973), Sn at (0.0000, 0.0000, 0.0000) and S at (0.0015, 0.3113, 0.1987).



# 3
KNdZnS3 | PBE-GGA | optimized geometry

The calculation puts the total DFT energy (no corrections) at -4.5573 eV per atom.

The space group is C2/m (No. 12) and the conventional cell measures 18.115, 4.163 and 8.364 Å, with angles of 90.00, 103.09 and 90.00 degrees. The asymmetric unit holds K at (0.138, 0.000, 0.072), Nd at (0.167, 0.000, 0.575), Zn at (0.028, 0.500, 0.741), S at (0.000, 0.000, 0.500), S at (0.000, 0.500, 0.000), S at (0.159, 0.500, 0.799) and S at (0.174, 0.500, 0.357).



# 4
KNdSb | PBE-GGA | optimized geometry

The calculation puts the total DFT energy (no corrections) at -3.0940 eV per atom.

The space group is F-43m (No. 216) and the conventional cell measures 7.489, 7.489 and 7.489 Å, with angles of 90.00, 90.00 and 90.00 degrees. The asymmetric unit holds K at (0.000, 0.000, 0.000), Nd at (0.250, 0.250, 0.750) and Sb at (0.250, 0.250, 0.250).



# 5
KNdSbTe3 | PBE-GGA | optimized geometry

The calculation puts the total DFT energy (no corrections) at -3.9804 eV per atom.

The space group is Cmcm (No. 63) and the conventional cell measures 4.625, 17.170 and 11.229 Å, with angles of 90.00, 90.00 and 90.00 degrees. The asymmetric unit holds K at (0.000, 0.231, 0.250), Nd at (0.000, 0.000, 0.000), Sb at (0.000, 0.472, 0.750), Te at (0.000, 0.108, 0.750) and Te at (0.000, 0.370, 0.540).



# 6
KNdScSe3 | PBE-GGA | optimized geometry

The calculation puts the total DFT energy (no corrections) at -5.3519 eV per atom.

The space group is Cmcm (No. 63) and the conventional cell measures 4.391, 15.029 and 11.492 Å, with angles of 90.00, 90.00 and 90.00 degrees. The asymmetric unit holds K at (0.000, 0.242, 0.250), Nd at (0.000, 0.500, 0.000), Sc at (0.000, 0.033, 0.750), Se at (0.000, 0.129, 0.566) and Se at (0.000, 0.436, 0.750).



# 7
KNdZnSe3 | PBE-GGA | optimized geometry

The calculation puts the total DFT energy (no corrections) at -4.1527 eV per atom.

The space group is C2/m (No. 12) and the conventional cell measures 19.020, 4.318 and 8.699 Å, with angles of 90.00, 102.85 and 90.00 degrees. The asymmetric unit holds K at (0.134, 0.000, 0.070), Nd at (0.169, 0.000, 0.574), Zn at (0.031, 0.500, 0.737), Se at (0.000, 0.000, 0.500), Se at (0.000, 0.500, 0.000), Se at (0.163, 0.500, 0.803) and Se at (0.175, 0.500, 0.352).



# 8
KNdSm | PBE-GGA | optimized geometry

As for the offset from the most stable computed form: 0.0 meV per atom. The calculation puts the total DFT energy (no corrections) at -2.3979 eV per atom.

The space group is F-43m (No. 216) and the conventional cell measures 8.418, 8.418 and 8.418 Å, with angles of 90.00, 90.00 and 90.00 degrees. The asymmetric unit holds K at (0.000, 0.000, 0.000), Nd at (0.000, 0.000, 0.500) and Sm at (0.250, 0.250, 0.250).



# 9
KNdSn | PBE-GGA | optimized geometry

As for the offset from the most stable computed form: 0.0 meV per atom. The calculation puts the total DFT energy (no corrections) at -3.4113 eV per atom.

The space group is F-43m (No. 216) and the conventional cell measures 7.821, 7.821 and 7.821 Å, with angles of 90.00, 90.00 and 90.00 degrees. The asymmetric unit holds K at (0.000, 0.000, 0.000), Nd at (0.000, 0.000, 0.500) and Sn at (0.250, 0.250, 0.750).



# 10
KSrNdTe3 | PBE-GGA | optimized geometry

The calculation puts the total DFT energy (no corrections) at -3.9950 eV per atom.

The space group is Cmcm (No. 63) and the conventional cell measures 4.820, 15.384 and 11.971 Å, with angles of 90.00, 90.00 and 90.00 degrees. The asymmetric unit holds K at (0.000, 0.020, 0.250), Sr at (0.000, 0.253, 0.750), Nd at (0.000, 0.500, 0.000), Te at (0.000, 0.143, 0.039) and Te at (0.000, 0.393, 0.250).



# 11
K4Nd3Ta | PBE-GGA | optimized geometry

The calculation puts the total DFT energy (no corrections) at -2.2090 eV per atom.

The space group is Pm-3m (No. 221) and the conventional cell measures 6.938, 6.938 and 6.938 Å, with angles of 90.00, 90.00 and 90.00 degrees. The asymmetric unit holds K at (0.000, 0.000, 0.000), K at (0.000, 0.500, 0.500), Nd at (0.000, 0.000, 0.500) and Ta at (0.500, 0.500, 0.500).



# 12
KNdTc | PBE-GGA | optimized geometry

The calculation puts the total DFT energy (no corrections) at -3.5868 eV per atom.

The space group is F-43m (No. 216) and the conventional cell measures 7.144, 7.144 and 7.144 Å, with angles of 90.00, 90.00 and 90.00 degrees. The asymmetric unit holds K at (0.000, 0.000, 0.000), Nd at (0.250, 0.250, 0.750) and Tc at (0.250, 0.250, 0.250).



# 13
KNdTe | PBE-GGA | optimized geometry

As for the offset from the most stable computed form: 0.0 meV per atom. The calculation puts the total DFT energy (no corrections) at -3.4582 eV per atom.

The space group is F-43m (No. 216) and the conventional cell measures 7.660, 7.660 and 7.660 Å, with angles of 90.00, 90.00 and 90.00 degrees. The asymmetric unit holds K at (0.000, 0.000, 0.000), Nd at (0.000, 0.000, 0.500) and Te at (0.250, 0.250, 0.250).



# 14
KNdTl | PBE-GGA | optimized geometry

As for the offset from the most stable computed form: 0.0 meV per atom. The calculation puts the total DFT energy (no corrections) at -2.5151 eV per atom.

The space group is F-43m (No. 216) and the conventional cell measures 7.874, 7.874 and 7.874 Å, with angles of 90.00, 90.00 and 90.00 degrees. The asymmetric unit holds K at (0.000, 0.000, 0.000), Nd at (0.000, 0.000, 0.500) and Tl at (0.250, 0.250, 0.250).



# 15
KNdY | PBE-GGA | optimized geometry

As for the offset from the most stable computed form: 0.0 meV per atom. The calculation puts the total DFT energy (no corrections) at -2.9717 eV per atom.

The space group is F-43m (No. 216) and the conventional cell measures 8.400, 8.400 and 8.400 Å, with angles of 90.00, 90.00 and 90.00 degrees. The asymmetric unit holds K at (0.000, 0.000, 0.000), Nd at (0.000, 0.000, 0.500) and Y at (0.250, 0.250, 0.250).



# 16
KNdZn | PBE-GGA | optimized geometry

As for the offset from the most stable computed form: 0.0 meV per atom. The calculation puts the total DFT energy (no corrections) at -1.9496 eV per atom.

The space group is F-43m (No. 216) and the conventional cell measures 7.511, 7.511 and 7.511 Å, with angles of 90.00, 90.00 and 90.00 degrees. The asymmetric unit holds K at (0.000, 0.000, 0.000), Nd at (0.000, 0.000, 0.500) and Zn at (0.250, 0.250, 0.250).



# 17
KNi3 | PBE-GGA | optimized geometry

As for the offset from the most stable computed form: 432.9 meV per atom. The calculation puts the total DFT energy (no corrections) at -3.4034 eV per atom.

The space group is I4/mmm (No. 139) and the conventional cell measures 4.034, 4.034 and 7.504 Å, with angles of 90.00, 90.00 and 90.00 degrees. The asymmetric unit holds K at (0.000, 0.000, 0.000), Ni at (0.000, 0.000, 0.500) and Ni at (0.000, 0.500, 0.250).



# 18
K2Ni | PBE-GGA | optimized geometry

As for the offset from the most stable computed form: 30.1 meV per atom. The calculation puts the total DFT energy (no corrections) at -1.8976 eV per atom.

The space group is P4_2/mnm (No. 136) and the conventional cell measures 7.631, 7.631 and 4.891 Å, with angles of 90.00, 90.00 and 90.00 degrees. The asymmetric unit holds K at (0.195, 0.195, 0.000) and Ni at (0.000, 0.000, 0.500).



# 19
KNi3 | PBE-GGA | optimized geometry

As for the offset from the most stable computed form: 0.0 meV per atom. The calculation puts the total DFT energy (no corrections) at -3.8363 eV per atom.

The space group is P6_3/mmc (No. 194) and the conventional cell measures 6.9124, 6.9124 and 4.0233 Å, with angles of 90.00, 90.00 and 120.00 degrees. The asymmetric unit holds K at (0.3333, 0.6667, 0.2500) and Ni at (0.1126, 0.2251, 0.7500).



# 20
K2Ni | PBE-GGA | optimized geometry

As for the offset from the most stable computed form: 255.1 meV per atom. The calculation puts the total DFT energy (no corrections) at -1.6726 eV per atom.

The space group is Fd-3m (No. 227, origin choice 2) and the conventional cell measures 13.049, 13.049 and 13.049 Å, with angles of 90.00, 90.00 and 90.00 degrees. The asymmetric unit holds K at (0.000, 0.000, 0.000) and Ni at (0.125, 0.125, 0.125).